# CeTlIr4

Crystalline CeTlIr4 at its relaxed geometry (PBE, Alexandria via LeMat-Bulk).

POSCAR file:
```
CeTlIr4
1.0
-4.722 -2.458 0.750
-1.927 -3.325 -3.760
-0.159 -5.295 0.919
Ir Tl Ce
4 1 1
Direct
0.626 0.626 0.626
0.626 0.626 0.123
0.626 0.123 0.626
0.123 0.626 0.626
0.000 0.000 0.000
0.250 0.250 0.250
```

Summary:
calculated total energy: -7.585 eV/atom
DOS(E_F): 11.70 states/eV/f.u.
ΔE_f: -1.8 eV per formula unit